No. 1
Density functional theory data (PBE-GGA) for a geometry-optimized KTlGaPt structure.

Cell and atoms, written as POSCAR:
```
KTlGaPt
1.0
-2.207 2.898 5.469
-0.519 -0.932 6.484
7.192 3.424 0.960
Ga Tl K Pt
2 2 2 2
Cartesian
0.929 3.087 10.103
3.538 2.304 2.811
-1.980 1.823 10.171
6.446 3.568 2.742
4.039 3.393 6.087
0.428 1.998 6.826
3.228 3.885 9.293
1.239 1.505 3.621
```

Summary:
uncorrected energy = -13.9 eV per formula unit
E above lowest polymorph = 0.000 eV/atom
crystal system = monoclinic
magnetic moment = 0.001 Bohr magnetons per cell



No. 2
Density functional theory data (PBE-GGA) for a geometry-optimized Cs2TaAgF6 structure.

Cell and atoms, written as POSCAR:
```
Cs2TaAgF6
1.0
3.144 1.815 10.384
-3.144 1.815 10.384
0.000 -3.631 10.384
F Cs Ag Ta
12 4 2 2
Cartesian
-1.636 -0.945 19.809
1.631 -0.942 14.795
0.000 1.883 14.795
0.000 -1.883 16.356
-1.631 0.942 16.356
-1.636 0.945 11.342
1.636 -0.945 19.809
1.636 0.945 11.342
0.000 1.890 19.809
-1.631 -0.942 14.795
1.631 0.942 16.356
0.000 -1.890 11.342
0.000 0.000 27.441
0.000 0.000 8.547
0.000 0.000 3.710
0.000 0.000 22.604
0.000 0.000 12.843
0.000 0.000 18.308
0.000 0.000 15.575
0.000 0.000 0.000
```

Summary:
uncorrected energy = -51.4 eV per formula unit
crystal system = trigonal
magnetic moment = 1.899 Bohr magnetons per cell



No. 3
Density functional theory data (PBE-GGA) for a geometry-optimized RbLaPtSe3 structure.

Cell and atoms, written as POSCAR:
```
RbLaPtSe3
1.0
3.342 7.591 -1.650
-6.679 -5.025 1.289
0.464 2.080 10.509
Se Rb La Pt
6 2 2 2
Cartesian
-0.216 3.993 5.665
-2.657 0.654 4.483
2.837 8.077 6.482
-5.710 -3.431 3.667
-0.067 4.662 9.046
-2.806 -0.016 1.102
0.968 4.976 1.708
-3.841 -0.330 8.441
0.000 0.000 0.000
0.232 1.040 5.255
-1.266 2.912 7.686
-1.607 1.734 2.463
```

Summary:
uncorrected energy = -29.3 eV per formula unit
crystal system = orthorhombic
magnetic moment = 0.044 Bohr magnetons per cell



No. 4
Density functional theory data (PBE-GGA) for a geometry-optimized ZnGe structure.

Cell and atoms, written as POSCAR:
```
ZnGe
1.0
-2.479 -0.493 1.419
0.159 -0.490 -2.852
1.405 -4.574 0.864
Ge Zn
1 1
Cartesian
-0.545 -3.923 0.644
-0.369 -1.635 -1.212
```

Summary:
uncorrected energy = -5.4 eV per formula unit
crystal system = hexagonal



No. 5
Density functional theory data (PBE-GGA) for a geometry-optimized TaFeCoAs structure.

Cell and atoms, written as POSCAR:
```
TaFeCoAs
1.0
0.000 3.022 3.022
3.022 0.000 3.022
3.022 3.022 0.000
Ta Fe Co As
1 1 1 1
Cartesian
1.511 1.511 1.511
3.022 3.022 3.022
4.533 4.533 4.533
0.000 0.000 0.000
```

Summary:
uncorrected energy = -31.6 eV per formula unit
E above lowest polymorph = 0.086 eV/atom
crystal system = cubic
magnetic moment = 2.867 Bohr magnetons per cell



No. 6
Density functional theory data (PBE-GGA) for a geometry-optimized YZnFeCo structure.

Cell and atoms, written as POSCAR:
```
YZnFeCo
1.0
3.360 -0.648 2.927
-0.358 1.542 4.216
-0.516 -2.887 3.417
Co Zn Fe Y
1 1 1 1
Cartesian
1.865 -1.495 7.920
0.000 0.000 0.000
1.243 -0.997 5.280
0.622 -0.498 2.640
```

Summary:
uncorrected energy = -22.6 eV per formula unit
E above lowest polymorph = 0.032 eV/atom
crystal system = cubic
energy of formation = 0.13 eV per atom
magnetic moment = 3.854 Bohr magnetons per cell



No. 7
Density functional theory data (PBE-GGA) for a geometry-optimized Sm4DyBi5 structure.

Cell and atoms, written as POSCAR:
```
Sm4DyBi5
1.0
10.085 -9.798 8.294
5.440 -8.841 12.599
-9.328 6.760 -11.567
Bi Sm Dy
5 4 1
Cartesian
7.762 -9.320 10.446
13.989 -16.796 18.827
1.535 -1.843 2.066
4.657 -5.591 6.267
10.868 -13.048 14.626
9.311 -11.179 12.531
6.213 -7.460 8.362
12.428 -14.921 16.725
3.097 -3.718 4.168
0.000 0.000 0.000
```

Summary:
uncorrected energy = -53.0 eV per formula unit
crystal system = tetragonal
magnetic moment = 0.008 Bohr magnetons per cell



No. 8
Density functional theory data (PBE-GGA) for a geometry-optimized TbTc2O8 structure.

Cell and atoms, written as POSCAR:
```
TbTc2O8
1.0
-2.898 3.685 4.748
2.238 5.555 -2.941
-3.613 -4.397 -3.483
Tc O Tb
2 8 1
Cartesian
-0.852 2.889 -2.760
-3.420 1.954 1.084
-2.286 5.737 1.524
-0.818 6.272 -0.675
-3.644 1.213 -0.484
-2.175 1.748 -2.683
-3.455 -1.429 -1.000
-2.098 3.095 1.007
-1.986 -0.894 -3.200
-0.629 3.630 -1.192
-0.330 4.620 0.904
```

Summary:
uncorrected energy = -85.7 eV per formula unit
crystal system = cubic
magnetic moment = 0.004 Bohr magnetons per cell



No. 9
Density functional theory data (PBE-GGA) for a geometry-optimized NdGdNi4 structure.

Cell and atoms, written as POSCAR:
```
NdGdNi4
1.0
-1.690 -1.545 4.582
-4.585 1.536 1.690
-3.867 -3.344 0.309
Ni Nd Gd
4 1 1
Cartesian
-8.031 -2.160 3.461
-8.880 -2.935 5.762
-6.578 -3.706 4.913
-6.938 -1.257 5.606
-5.071 -1.676 3.290
-2.536 -0.838 1.645
```

Summary:
uncorrected energy = -33.9 eV per formula unit
E above lowest polymorph = 0.000 eV/atom
crystal system = cubic
energy of formation = -0.37 eV per atom
magnetic moment = 0.001 Bohr magnetons per cell



No. 10
Density functional theory data (PBE-GGA) for a geometry-optimized AlSiH6W structure.

Cell and atoms, written as POSCAR:
```
AlSiH6W
1.0
0.000 3.120 3.120
3.120 0.000 3.120
3.120 3.120 0.000
H Si Al W
6 1 1 1
Cartesian
1.722 3.120 3.120
3.120 4.518 3.120
4.518 3.120 3.120
3.120 3.120 1.722
3.120 1.722 3.120
3.120 3.120 4.518
0.000 0.000 0.000
4.680 4.680 4.680
1.560 1.560 1.560
```

Summary:
uncorrected energy = -36.3 eV per formula unit
crystal system = cubic
magnetic moment = 0.001 Bohr magnetons per cell



No. 11
Density functional theory data (PBE-GGA) for a geometry-optimized LaThIn structure.

Cell and atoms, written as POSCAR:
```
LaThIn
1.0
-0.503 -4.474 2.672
-4.692 -2.284 0.422
-0.972 -4.473 -2.542
La Th In
1 1 1
Cartesian
0.000 0.000 0.000
-4.626 -8.423 0.414
-1.542 -2.808 0.138
```

Summary:
uncorrected energy = -13.5 eV per formula unit
crystal system = cubic
magnetic moment = 1.740 Bohr magnetons per cell



No. 12
Density functional theory data (PBE-GGA) for a geometry-optimized CuMoPbW structure.

Cell and atoms, written as POSCAR:
```
CuMoPbW
1.0
-0.467 -3.965 2.243
-3.551 -2.743 -0.914
0.673 -3.964 -2.192
Pb W Mo Cu
1 1 1 1
Cartesian
0.000 0.000 0.000
-1.673 -5.336 -0.431
-0.836 -2.668 -0.215
-2.509 -8.004 -0.646
```

Summary:
uncorrected energy = -28.2 eV per formula unit
E above lowest polymorph = 0.000 eV/atom
crystal system = cubic
magnetic moment = 0.003 Bohr magnetons per cell



No. 13
Density functional theory data (PBE-GGA) for a geometry-optimized LiTaInCo structure.

Cell and atoms, written as POSCAR:
```
LiTaInCo
1.0
0.112 -3.228 3.079
0.732 1.024 4.282
-3.305 -0.359 2.977
In Ta Li Co
1 1 1 1
Cartesian
0.000 0.000 0.000
-0.615 -0.641 2.584
-1.231 -1.282 5.169
-1.846 -1.922 7.753
```

Summary:
uncorrected energy = -21.6 eV per formula unit
E above lowest polymorph = 0.611 eV/atom
crystal system = cubic
magnetic moment = 0.119 Bohr magnetons per cell



No. 14
Density functional theory data (PBE-GGA) for a geometry-optimized LuCuAgAs structure.

Cell and atoms, written as POSCAR:
```
LuCuAgAs
1.0
-3.140 -2.731 2.233
-4.570 1.192 0.025
-3.115 -2.534 -2.486
Ag Cu As Lu
1 1 1 1
Cartesian
-2.706 -1.018 -0.057
-8.119 -3.054 -0.171
0.000 0.000 0.000
-5.413 -2.036 -0.114
```

Summary:
uncorrected energy = -16.3 eV per formula unit
E above lowest polymorph = 0.137 eV/atom
crystal system = cubic
magnetic moment = 0.032 Bohr magnetons per cell



No. 15
Density functional theory data (PBE-GGA) for a geometry-optimized TlFeOsAu structure.

Cell and atoms, written as POSCAR:
```
TlFeOsAu
1.0
-1.665 -4.118 -1.048
-3.509 -0.374 -2.894
0.657 -1.733 -4.171
Au Tl Os Fe
1 1 1 1
Cartesian
-2.258 -3.113 -4.057
0.000 0.000 0.000
-1.129 -1.556 -2.028
-3.388 -4.669 -6.085
```

Summary:
uncorrected energy = -22.1 eV per formula unit
E above lowest polymorph = 0.000 eV/atom
crystal system = cubic
magnetic moment = 3.107 Bohr magnetons per cell



No. 16
Density functional theory data (PBE-GGA) for a geometry-optimized Nb2NiSe5 structure.

Cell and atoms, written as POSCAR:
```
Nb2NiSe5
1.0
1.736 -6.720 0.000
1.736 6.720 0.000
-0.069 0.000 15.826
Ni Nb Se
2 4 10
Cartesian
1.684 -2.703 11.870
1.719 2.703 3.957
1.732 -3.728 6.184
1.705 -3.728 1.729
1.671 3.728 9.642
1.698 3.728 14.097
1.712 -4.743 8.681
1.746 4.743 0.768
1.657 -4.743 15.058
1.666 -1.139 13.602
1.691 4.743 7.145
1.737 1.139 2.224
1.700 1.139 5.689
1.703 -1.139 10.137
1.684 2.393 11.870
1.719 -2.393 3.957
```

Summary:
uncorrected energy = -49.1 eV per formula unit
crystal system = monoclinic
magnetic moment = 0.004 Bohr magnetons per cell



No. 17
Density functional theory data (PBE-GGA) for a geometry-optimized RbNaNiMo structure.

Cell and atoms, written as POSCAR:
```
RbNaNiMo
1.0
0.000 3.745 3.745
3.745 0.000 3.745
3.745 3.745 0.000
Mo Ni Na Rb
1 1 1 1
Cartesian
0.000 0.000 0.000
3.745 3.745 3.745
5.618 5.618 5.618
1.873 1.873 1.873
```

Summary:
uncorrected energy = -12.0 eV per formula unit
E above lowest polymorph = 0.243 eV/atom
crystal system = cubic
magnetic moment = 4.555 Bohr magnetons per cell



No. 18
Density functional theory data (PBE-GGA) for a geometry-optimized KRbPu structure.

Cell and atoms, written as POSCAR:
```
KRbPu
1.0
0.000 4.685 4.685
4.685 0.000 4.685
4.685 4.685 0.000
K Pu Rb
1 1 1
Cartesian
0.000 0.000 0.000
2.343 2.343 2.343
7.028 7.028 7.028
```

Summary:
uncorrected energy = -13.2 eV per formula unit
crystal system = cubic
magnetic moment = 7.259 Bohr magnetons per cell



No. 19
Density functional theory data (PBE-GGA) for a geometry-optimized PmNd5Bi6 structure.

Cell and atoms, written as POSCAR:
```
PmNd5Bi6
1.0
3.975 -6.887 0.000
3.975 6.887 0.000
-2.652 0.000 7.496
Bi Nd Pm
6 5 1
Cartesian
3.977 2.289 5.627
5.308 0.000 1.870
3.977 -2.289 5.627
1.321 -2.289 1.869
1.321 2.289 1.869
-0.010 0.000 5.626
2.649 4.587 3.748
2.649 -4.587 3.748
2.649 0.000 3.748
3.975 -2.295 0.000
3.975 2.295 0.000
0.000 0.000 0.000
```

Summary:
uncorrected energy = -64.4 eV per formula unit
crystal system = monoclinic
magnetic moment = 0.007 Bohr magnetons per cell



No. 20
Density functional theory data (PBE-GGA) for a geometry-optimized KTbPt structure.

Cell and atoms, written as POSCAR:
```
KTbPt
1.0
0.000 3.533 3.533
3.533 0.000 3.533
3.533 3.533 0.000
Tb K Pt
1 1 1
Cartesian
5.300 5.300 5.300
1.767 1.767 1.767
0.000 0.000 0.000
```

Summary:
uncorrected energy = -12.4 eV per formula unit
E above lowest polymorph = 0.000 eV/atom
crystal system = cubic
magnetic moment = 0.002 Bohr magnetons per cell



No. 21
Density functional theory data (PBE-GGA) for a geometry-optimized AsPbAu2 structure.

Cell and atoms, written as POSCAR:
```
AsPbAu2
1.0
-4.097 -1.153 -2.527
-4.420 1.527 1.622
-2.460 3.518 -2.464
Au Pb As
2 1 1
Cartesian
-8.233 2.920 -2.527
0.000 0.000 0.000
-5.489 1.946 -1.685
-2.744 0.973 -0.842
```

Summary:
uncorrected energy = -14.1 eV per formula unit
crystal system = cubic



No. 22
Density functional theory data (PBE-GGA) for a geometry-optimized DyScOs structure.

Cell and atoms, written as POSCAR:
```
DyScOs
1.0
0.389 2.037 4.059
-2.453 3.729 0.923
-3.430 -0.212 2.995
Dy Os Sc
1 1 1
Cartesian
-1.374 1.388 1.994
-4.121 4.165 5.983
0.000 0.000 0.000
```

Summary:
uncorrected energy = -20.6 eV per formula unit
E above lowest polymorph = 0.000 eV/atom
crystal system = cubic
energy of formation = 0.50 eV per atom
magnetic moment = 0.000 Bohr magnetons per cell



No. 23
Density functional theory data (PBE-GGA) for a geometry-optimized ZnCu structure.

Cell and atoms, written as POSCAR:
```
ZnCu
1.0
4.561 0.000 0.000
0.000 7.881 0.000
0.000 0.000 4.259
Zn Cu
6 6
Cartesian
0.027 5.249 0.000
2.250 6.642 0.000
3.818 6.599 2.129
2.308 3.945 0.000
1.538 2.595 2.129
4.530 2.552 0.000
2.266 1.306 0.000
4.546 0.008 0.000
1.518 5.256 2.129
3.799 3.938 2.129
3.803 1.298 2.129
1.522 0.015 2.129
```

Summary:
uncorrected energy = -5.1 eV per formula unit
crystal system = orthorhombic
energy of formation = -0.07 eV per atom



No. 24
Density functional theory data (PBE-GGA) for a geometry-optimized GdPuCu structure.

Cell and atoms, written as POSCAR:
```
GdPuCu
1.0
0.000 3.415 3.415
3.415 0.000 3.415
3.415 3.415 0.000
Gd Cu Pu
1 1 1
Cartesian
1.708 1.708 1.708
0.000 0.000 0.000
5.123 5.123 5.123
```

Summary:
uncorrected energy = -19.3 eV per formula unit
E above lowest polymorph = 0.000 eV/atom
crystal system = cubic
energy of formation = 1.06 eV per atom
magnetic moment = 0.150 Bohr magnetons per cell



No. 25
Density functional theory data (PBE-GGA) for a geometry-optimized FeGeBiAu structure.

Cell and atoms, written as POSCAR:
```
FeGeBiAu
1.0
0.000 3.420 3.420
3.420 0.000 3.420
3.420 3.420 0.000
Bi Fe Au Ge
1 1 1 1
Cartesian
0.000 0.000 0.000
1.710 1.710 1.710
5.130 5.130 5.130
3.420 3.420 3.420
```

Summary:
uncorrected energy = -18.6 eV per formula unit
E above lowest polymorph = 0.000 eV/atom
crystal system = cubic
magnetic moment = 2.627 Bohr magnetons per cell



No. 26
Density functional theory data (PBE-GGA) for a geometry-optimized LuAlNiHg structure.

Cell and atoms, written as POSCAR:
```
LuAlNiHg
1.0
3.834 -1.591 2.172
0.008 -4.281 1.902
2.543 -3.421 -1.942
Al Hg Ni Lu
1 1 1 1
Cartesian
0.000 0.000 0.000
3.193 -4.646 1.066
4.789 -6.970 1.599
1.596 -2.323 0.533
```

Summary:
uncorrected energy = -14.9 eV per formula unit
E above lowest polymorph = 0.121 eV/atom
crystal system = cubic
magnetic moment = 0.006 Bohr magnetons per cell